Record 1
# Sm4Al3Au

A relaxed Sm4Al3Au crystal (PBE, Alexandria via LeMat-Bulk).

## Properties
**ρ**: 7.32 g/cm³
**ΔE_f**: -0.465 eV/atom

Lattice parameters (Å, degrees): 3.649 3.649 14.975 90.00 90.00 90.00
Sites, in units of the cell vectors:
Sm (0.000, 0.000, 0.124)
Sm (0.000, 0.000, 0.375)
Sm (0.000, 0.000, 0.625)
Sm (0.000, 0.000, 0.876)
Al (0.500, 0.500, 0.000)
Al (0.500, 0.500, 0.249)
Al (0.500, 0.500, 0.751)
Au (0.500, 0.500, 0.500)

=====

Record 2
# ZnNiH2

A relaxed ZnNiH2 crystal (PBE, Alexandria via LeMat-Bulk).

## Properties
**Raw total energy**: -27.38 eV per cell
**ρ**: 5.26 g/cm³

Lattice parameters (Å, degrees): 4.423 4.423 4.737 90.08 90.08 120.71
Sites, in units of the cell vectors:
Zn (0.000, 0.500, 0.000)
Zn (0.500, 0.000, 0.500)
Ni (0.000, 0.000, 0.250)
Ni (0.000, 0.000, 0.750)
H (0.219, 0.277, 0.501)
H (0.277, 0.219, 0.001)
H (0.723, 0.781, 0.999)
H (0.781, 0.723, 0.499)

=====

Record 3
# BaICl3

A relaxed BaICl3 crystal (PBE, Alexandria via LeMat-Bulk).

## Properties
**ρ**: 2.77 g/cm³
**Formation energy without anion corrections**: -1.0839 eV/atom

Lattice parameters (Å, degrees): 6.056 6.056 6.056 90.00 90.00 90.00
Sites, in units of the cell vectors:
Ba (0.000, 0.000, 0.000)
I (0.500, 0.500, 0.500)
Cl (0.000, 0.000, 0.500)
Cl (0.000, 0.500, 0.000)
Cl (0.500, 0.000, 0.000)

=====

Record 4
# RbIn2Br2Cl

A relaxed RbIn2Br2Cl crystal (PBE, Alexandria via LeMat-Bulk).

## Properties
**ρ**: 3.56 g/cm³
**Formation energy without anion corrections**: -1.0006 eV/atom

Lattice parameters (Å, degrees): 7.821 6.782 8.979 90.00 90.25 90.00
Sites, in units of the cell vectors:
Rb (0.233, 0.250, 0.058)
Rb (0.767, 0.750, 0.942)
In (0.290, 0.504, 0.591)
In (0.290, 0.996, 0.591)
In (0.710, 0.004, 0.409)
In (0.710, 0.496, 0.409)
Br (0.004, 0.750, 0.318)
Br (0.211, 0.750, 0.862)
Br (0.789, 0.250, 0.138)
Br (0.996, 0.250, 0.682)
Cl (0.487, 0.250, 0.781)
Cl (0.513, 0.750, 0.219)

=====

Record 5
# Ba2Tl3I7

A relaxed Ba2Tl3I7 crystal (PBE, Alexandria via LeMat-Bulk).

## Properties
**ρ**: 4.85 g/cm³
**Formation energy without anion corrections**: -1.1958 eV/atom

Lattice parameters (Å, degrees): 15.460 15.460 9.490 90.00 90.00 32.42
Sites, in units of the cell vectors:
Ba (0.141, 0.647, 0.500)
Ba (0.353, 0.859, 0.500)
Ba (0.647, 0.141, 0.000)
Ba (0.859, 0.353, 0.000)
Tl (0.059, 0.553, 0.098)
Tl (0.236, 0.764, 0.924)
Tl (0.447, 0.941, 0.098)
Tl (0.553, 0.059, 0.598)
Tl (0.764, 0.236, 0.424)
Tl (0.941, 0.447, 0.598)
I (0.013, 0.836, 0.175)
I (0.118, 0.304, 0.938)
I (0.164, 0.987, 0.175)
I (0.288, 0.441, 0.813)
I (0.304, 0.118, 0.438)
I (0.403, 0.597, 0.568)
I (0.441, 0.288, 0.313)
I (0.559, 0.712, 0.813)
I (0.597, 0.403, 0.068)
I (0.696, 0.882, 0.938)
I (0.712, 0.559, 0.313)
I (0.836, 0.013, 0.675)
I (0.882, 0.696, 0.438)
I (0.987, 0.164, 0.675)

=====

Record 6
# Cs12H5Pt3

A relaxed Cs12H5Pt3 crystal (PBE, Alexandria via LeMat-Bulk).

## Properties
**Raw total energy**: -185.25 eV per cell
**ρ**: 4.23 g/cm³

Lattice parameters (Å, degrees): 16.451 16.451 16.451 109.47 109.47 109.47
Sites, in units of the cell vectors:
Cs (0.037, 0.213, 0.132)
Cs (0.037, 0.324, 0.906)
Cs (0.082, 0.713, 0.676)
Cs (0.082, 0.868, 0.406)
Cs (0.094, 0.632, 0.418)
Cs (0.094, 0.963, 0.676)
Cs (0.132, 0.037, 0.213)
Cs (0.132, 0.594, 0.918)
Cs (0.176, 0.213, 0.582)
Cs (0.176, 0.463, 0.594)
Cs (0.213, 0.132, 0.037)
Cs (0.213, 0.582, 0.176)
Cs (0.287, 0.324, 0.918)
Cs (0.287, 0.463, 0.368)
Cs (0.324, 0.906, 0.037)
Cs (0.324, 0.918, 0.287)
Cs (0.368, 0.287, 0.463)
Cs (0.368, 0.582, 0.906)
Cs (0.406, 0.082, 0.868)
Cs (0.406, 0.824, 0.537)
Cs (0.418, 0.094, 0.632)
Cs (0.418, 0.824, 0.787)
Cs (0.463, 0.368, 0.287)
Cs (0.463, 0.594, 0.176)
Cs (0.537, 0.406, 0.824)
Cs (0.537, 0.632, 0.713)
Cs (0.582, 0.176, 0.213)
Cs (0.582, 0.906, 0.368)
Cs (0.594, 0.176, 0.463)
Cs (0.594, 0.918, 0.132)
Cs (0.632, 0.418, 0.094)
Cs (0.632, 0.713, 0.537)
Cs (0.676, 0.082, 0.713)
Cs (0.676, 0.094, 0.963)
Cs (0.713, 0.537, 0.632)
Cs (0.713, 0.676, 0.082)
Cs (0.787, 0.418, 0.824)
Cs (0.787, 0.868, 0.963)
Cs (0.824, 0.537, 0.406)
Cs (0.824, 0.787, 0.418)
Cs (0.868, 0.406, 0.082)
Cs (0.868, 0.963, 0.787)
Cs (0.906, 0.037, 0.324)
Cs (0.906, 0.368, 0.582)
Cs (0.918, 0.132, 0.594)
Cs (0.918, 0.287, 0.324)
Cs (0.963, 0.676, 0.094)
Cs (0.963, 0.787, 0.868)
H (0.000, 0.000, 0.000)
H (0.000, 0.000, 0.500)
H (0.000, 0.500, 0.000)
H (0.000, 0.500, 0.500)
H (0.125, 0.750, 0.875)
H (0.125, 0.875, 0.250)
H (0.250, 0.125, 0.875)
H (0.250, 0.625, 0.375)
H (0.375, 0.250, 0.625)
H (0.375, 0.625, 0.750)
H (0.500, 0.000, 0.000)
H (0.500, 0.000, 0.500)
H (0.500, 0.500, 0.000)
H (0.500, 0.500, 0.500)
H (0.625, 0.375, 0.250)
H (0.625, 0.750, 0.375)
H (0.750, 0.375, 0.625)
H (0.750, 0.875, 0.125)
H (0.875, 0.125, 0.750)
H (0.875, 0.250, 0.125)
Pt (0.125, 0.250, 0.375)
Pt (0.125, 0.375, 0.750)
Pt (0.250, 0.375, 0.125)
Pt (0.250, 0.875, 0.625)
Pt (0.375, 0.125, 0.250)
Pt (0.375, 0.750, 0.125)
Pt (0.625, 0.250, 0.875)
Pt (0.625, 0.875, 0.750)
Pt (0.750, 0.125, 0.375)
Pt (0.750, 0.625, 0.875)
Pt (0.875, 0.625, 0.250)
Pt (0.875, 0.750, 0.625)

=====

Record 7
# NiAgHg

A relaxed NiAgHg crystal (PBE, Alexandria via LeMat-Bulk).

## Properties
**ρ**: 12.19 g/cm³
**ΔE_f**: 0.176 eV/atom

Lattice parameters (Å, degrees): 7.505 7.505 4.571 90.00 90.00 157.13
Sites, in units of the cell vectors:
Ni (0.061, 0.939, 0.750)
Ni (0.939, 0.061, 0.250)
Ag (0.281, 0.719, 0.250)
Ag (0.719, 0.281, 0.750)
Hg (0.407, 0.593, 0.750)
Hg (0.593, 0.407, 0.250)

=====

Record 8
# Pa4Si3Os

A relaxed Pa4Si3Os crystal (PBE, Alexandria via LeMat-Bulk).

## Properties
**ρ**: 11.68 g/cm³
**Formation energy without anion corrections**: -0.4736 eV/atom

Lattice parameters (Å, degrees): 4.026 4.033 10.496 90.00 90.00 90.00
Sites, in units of the cell vectors:
Pa (0.000, 0.000, 0.000)
Pa (0.000, 0.500, 0.284)
Pa (0.500, 0.000, 0.499)
Pa (0.500, 0.500, 0.786)
Si (0.000, 0.500, 0.566)
Si (0.500, 0.000, 0.221)
Si (0.500, 0.500, 0.064)
Os (0.000, 0.000, 0.721)